1.
Here is crystalline TlSb2P at its relaxed geometry from the Alexandria database. Energies are from PBE.

Cell: 5.9545 5.9545 6.0411 Å, 69.24 69.24 35.57°
Positions (direct):
Tl  0.4717  0.4717  0.5151
Sb  0.0251  0.0251  0.9699
Sb  0.2741  0.2741  0.1466
P  0.7292  0.7292  0.8685

Results
Spin magnetization in μB/atom: 0.00
Mass density in g/cm³: 6.9
Formation energy from raw total energies in eV/atom: 0.1918
DOS(E_F) in states/eV per cell: 2.0


2.
Here is crystalline Tl2SbP2 at its relaxed geometry from the Alexandria database. Energies are from PBE.

Cell: 3.3218 3.3218 11.7548 Å, 81.88 81.88 90.00°
Positions (direct):
Sb  0.0000  0.0000  0.0000
Tl  0.3811  0.3811  0.2379
Tl  0.6189  0.6189  0.7621
P  0.7500  0.2500  0.5000
P  0.2500  0.7500  0.5000

Results
Spin magnetization in μB/atom: 0.00
Mass density in g/cm³: 7.7
Formation energy from raw total energies in eV/atom: 0.1525
DOS(E_F) in states/eV per cell: 2.5


3.
Here is crystalline TlSb2P at its relaxed geometry from the Alexandria database. Energies are from PBE.

Cell: 6.1542 6.1542 3.1355 Å, 79.76 79.76 116.32°
Positions (direct):
Tl  0.0000  0.0000  0.5000
Sb  0.0000  0.5000  0.0000
Sb  0.5000  0.0000  0.0000
P  0.5000  0.5000  0.5000

Results
Spin magnetization in μB/atom: 0.00
Mass density in g/cm³: 7.9
Formation energy from raw total energies in eV/atom: 0.4384
DOS(E_F) in states/eV per cell: 2.1


4.
Here is crystalline TlSb2P at its relaxed geometry from the Alexandria database. Energies are from PBE.

Cell: 3.4081 3.4081 9.3526 Å, 90.00 90.00 90.00°
Positions (direct):
Tl  0.0000  0.0000  0.5197
Sb  0.0000  0.0000  0.9357
Sb  0.5000  0.5000  0.2383
P  0.5000  0.5000  0.8062

Results
Spin magnetization in μB/atom: 0.00
Mass density in g/cm³: 7.3
Formation energy from raw total energies in eV/atom: 0.2497
DOS(E_F) in states/eV per cell: 1.8